#w
The following is a PBE calculation of an optimized crystal structure of MnMoCl2, from the Alexandria database.

Results
DOS(E_F) = 0.96 states/eV/cell

Cell lengths 4.6895, 4.6895, 4.6895 Å; angles 60.00, 60.00, 60.00 degrees
With the nearest neighbours (Å) after each atom.
Atoms (fractional coordinates):
Mo (0.7500, 0.7500, 0.7500)  4 Cl 2.87, 4 Mn 2.87
Mn (0.5000, 0.5000, 0.5000)  4 Cl 2.87, 4 Mo 2.87
Cl (0.0000, 0.0000, 0.0000)  4 Mo 2.87, 4 Cl 2.87
Cl (0.2500, 0.2500, 0.2500)  4 Mn 2.87, 4 Cl 2.87


#x
The following is a PBE calculation of an optimized crystal structure of MnMoCl2, from the Alexandria database.

Results
DOS(E_F) = 6.50 states/eV/cell

Cell lengths 4.2643, 4.2643, 4.2643 Å; angles 60.00, 60.00, 60.00 degrees
With the nearest neighbours (Å) after each atom.
Atoms (fractional coordinates):
Mo (0.5000, 0.5000, 0.5000)  8 Cl 2.61
Mn (0.0000, 0.0000, 0.0000)  8 Cl 2.61
Cl (0.2500, 0.2500, 0.2500)  4 Mn 2.61, 4 Mo 2.61
Cl (0.7500, 0.7500, 0.7500)  4 Mn 2.61, 4 Mo 2.61


According to the calculations, the structures order from most to least stable as #w, #x.


#w
The following is a PBE calculation of an optimized crystal structure of KIrOs2, from the Alexandria database.

Results
DOS(E_F) = 7.28 states/eV/cell

Cell lengths 5.2943, 5.2943, 2.6309 Å; angles 90.00, 90.00, 115.52 degrees
With the nearest neighbours (Å) after each atom.
Atoms (fractional coordinates):
Ir (0.5000, 0.0000, 0.5000)  2 Ir 2.63, 2 K 2.82
K (0.0000, 0.5000, 0.5000)  2 K 2.63, 2 Ir 2.82
Os (0.0000, 0.0000, 0.0000)  4 Os 2.63-2.82
Os (0.5000, 0.5000, 0.0000)  4 Os 2.63-2.82


#x
The following is a PBE calculation of an optimized crystal structure of KIrOs2, from the Alexandria database.

Results
DOS(E_F) = 6.23 states/eV/cell

Cell lengths 4.6508, 4.6508, 4.6508 Å; angles 124.24, 124.24, 82.80 degrees
With the nearest neighbours (Å) after each atom.
Atoms (fractional coordinates):
Ir (0.5000, 0.5000, 0.0000)  4 K 2.79, 8 Os 2.79-3.08
K (0.7500, 0.2500, 0.5000)  8 Os 2.79-3.08, 4 Ir 2.79
Os (0.0000, 0.0000, 0.0000)  4 K 2.79, 4 Os 2.79, 4 Ir 3.08
Os (0.2500, 0.7500, 0.5000)  4 Os 2.79, 4 Ir 2.79, 4 K 3.08


According to the calculations, the structures order from most to least stable as #w, #x.


#w
The following is a PBE calculation of an optimized crystal structure of Al2TlW, from the Alexandria database.

Results
DOS(E_F) = 2.81 states/eV/cell

Cell lengths 2.9277, 2.9277, 8.9557 Å; angles 90.00, 90.00, 90.00 degrees
With the nearest neighbours (Å) after each atom.
Atoms (fractional coordinates):
Tl (0.5000, 0.5000, 0.2500)  4 Tl 2.93
Al (0.0000, 0.0000, 0.9556)  4 W 2.77, 4 Al 2.93
Al (0.0000, 0.0000, 0.5444)  4 W 2.77, 4 Al 2.93
W (0.5000, 0.5000, 0.7500)  8 Al 2.77, 4 W 2.93


#x
The following is a PBE calculation of an optimized crystal structure of Al2TlW, from the Alexandria database.

Results
DOS(E_F) = 2.90 states/eV/cell

Cell lengths 3.6484, 4.3566, 4.3566 Å; angles 90.00, 90.00, 90.00 degrees
With the nearest neighbours (Å) after each atom.
Atoms (fractional coordinates):
Tl (0.5000, 0.5000, 0.0000)  8 Al 2.84, 4 W 3.08
Al (0.0000, 0.0000, 0.0000)  4 Tl 2.84, 4 W 2.84, 4 Al 3.08
Al (0.0000, 0.5000, 0.5000)  4 Tl 2.84, 4 W 2.84, 4 Al 3.08
W (0.5000, 0.0000, 0.5000)  8 Al 2.84, 4 Tl 3.08


According to the calculations, the structures order from most to least stable as #w, #x.


#w
The following is a PBE calculation of an optimized crystal structure of BeW, from the Alexandria database.

Results
DOS(E_F) = 3.78 states/eV/cell

Cell lengths 12.8477, 2.6404, 4.4411 Å; angles 90.00, 90.00, 90.00 degrees
With the nearest neighbours (Å) after each atom.
Atoms (fractional coordinates):
Be (0.8540, 0.4863, 0.8300)  1 Be 2.22, 4 W 2.43-2.48
Be (0.6460, 0.5137, 0.3300)  1 Be 2.22, 4 W 2.43-2.48
Be (0.1460, 0.4863, 0.8300)  1 Be 2.22, 4 W 2.43-2.48
Be (0.3540, 0.5137, 0.3300)  1 Be 2.22, 4 W 2.43-2.48
Be (0.0000, 0.4222, 0.0951)  2 Be 2.22
Be (0.5000, 0.5778, 0.5951)  2 Be 2.22
W (0.8176, 0.1142, 0.3291)  5 Be 2.44-2.72, 3 W 2.64-2.67
W (0.6824, 0.8858, 0.8291)  5 Be 2.44-2.72, 3 W 2.64-2.67
W (0.1824, 0.1142, 0.3291)  5 Be 2.44-2.72, 3 W 2.64-2.67
W (0.3176, 0.8858, 0.8291)  5 Be 2.44-2.72, 3 W 2.64-2.67
W (0.0000, 0.9067, 0.5887)  8 Be 2.43-2.65, 4 W 2.64-2.67
W (0.5000, 0.0933, 0.0887)  8 Be 2.43-2.65, 4 W 2.64-2.67


#x
The following is a PBE calculation of an optimized crystal structure of BeW, from the Alexandria database.

Results
DOS(E_F) = 1.43 states/eV/cell

Cell lengths 4.7591, 5.4374, 2.6092 Å; angles 76.12, 74.09, 50.04 degrees
With the nearest neighbours (Å) after each atom.
Atoms (fractional coordinates):
Be (0.0031, 0.9382, 0.0294)  2 Be 2.25
Be (0.9136, 0.6451, 0.7206)  2 Be 2.25
W (0.5782, 0.4725, 0.4747)  7 Be 2.57-2.59, 4 W 2.61-2.83
W (0.3385, 0.1108, 0.2753)  7 Be 2.57-2.59, 4 W 2.61-2.83


According to the calculations, the structures order from most to least stable as #x, #w.